#A
This record from Alexandria describes a geometry-optimized Li3BiB2O6 structure. The functional is GGA-PBE.

## Properties
DOS(E_F)	0.00	states/eV per cell

Cell: 9.026 6.515 10.303 Å, 90.00 117.22 90.00°
Space group P2_1/c (No. 14)
Symmetry-distinct sites (fractional):
Li  0.111  0.243  0.479 [4 per cell]
Li  0.203  0.563  0.168 [4 per cell]
Li  0.343  0.721  0.548 [4 per cell]
Bi  0.310  0.025  0.300 [4 per cell]
B  0.041  0.666  0.826 [4 per cell]
B  0.453  0.167  0.110 [4 per cell]
O  0.081  0.712  0.714 [4 per cell]
O  0.112  0.211  0.678 [4 per cell]
O  0.163  0.565  0.949 [4 per cell]
O  0.301  0.068  0.062 [4 per cell]
O  0.433  0.669  0.244 [4 per cell]
O  0.492  0.224  0.514 [4 per cell]

=====

#B
This record from Alexandria describes a geometry-optimized Li3BiB2O6 structure. The functional is GGA-PBE.

## Properties
DOS(E_F)	0.00	states/eV per cell

Cell: 5.245 9.035 11.850 Å, 90.00 114.51 90.00°
Space group P2_1/c (No. 14)
Symmetry-distinct sites (fractional):
Li  0.104  0.029  0.293 [4 per cell]
Li  0.196  0.177  0.864 [4 per cell]
Li  0.261  0.003  0.077 [4 per cell]
Bi  0.291  0.124  0.604 [4 per cell]
B  0.216  0.681  0.386 [4 per cell]
B  0.353  0.700  0.147 [4 per cell]
O  0.071  0.556  0.391 [4 per cell]
O  0.078  0.661  0.121 [4 per cell]
O  0.086  0.682  0.843 [4 per cell]
O  0.459  0.657  0.687 [4 per cell]
O  0.467  0.100  0.369 [4 per cell]
O  0.491  0.170  0.073 [4 per cell]

=====

#C
This record from Alexandria describes a geometry-optimized Li3BiB2O6 structure. The functional is GGA-PBE.

## Properties
DOS(E_F)	0.00	states/eV per cell

Cell: 4.798 7.709 8.824 Å, 109.69 91.57 92.85°
Space group P-1 (No. 2)
Symmetry-distinct sites (fractional):
Li  0.048  0.140  0.247 [2 per cell]
Li  0.235  0.830  0.246 [2 per cell]
Li  0.321  0.092  0.623 [2 per cell]
Bi  0.381  0.542  0.798 [2 per cell]
B  0.280  0.228  0.951 [2 per cell]
B  0.453  0.770  0.551 [2 per cell]
O  0.115  0.122  0.823 [2 per cell]
O  0.214  0.288  0.115 [2 per cell]
O  0.277  0.714  0.650 [2 per cell]
O  0.349  0.085  0.392 [2 per cell]
O  0.407  0.692  0.382 [2 per cell]
O  0.457  0.699  0.073 [2 per cell]

=====

Name the least stable of them. #C.